Entry 1:
KRb2CaAu: optimized geometry, PBE.

a b c (Å): 6.8963 6.8963 5.9351
angles (deg): 90.00 90.00 90.00
Atoms (fractional coordinates):
1 K 0.0000 0.0000 0.0000
2 Rb 0.0000 0.5000 0.5000
3 Rb 0.5000 0.0000 0.5000
4 Ca 0.5000 0.5000 0.0000
5 Au 0.5000 0.5000 0.5000

Properties
calculated density: 2.6 g cm⁻³
energy: -8.83 eV for the cell shown



Entry 2:
K2RbCaAu: optimized geometry, PBE.

a b c (Å): 6.6744 6.6744 5.9141
angles (deg): 90.00 90.00 90.00
Atoms (fractional coordinates):
1 K 0.0000 0.5000 0.0000
2 K 0.5000 0.0000 0.0000
3 Rb 0.0000 0.0000 0.5000
4 Ca 0.5000 0.5000 0.5000
5 Au 0.5000 0.5000 0.0000

Properties
calculated density: 2.5 g cm⁻³
energy: -9.05 eV for the cell shown



Entry 3:
KCaReAu2: optimized geometry, PBE.

a b c (Å): 5.1475 5.1475 5.2575
angles (deg): 90.00 90.00 90.00
Atoms (fractional coordinates):
1 K 0.0000 0.0000 0.0000
2 Ca 0.5000 0.5000 0.0000
3 Re 0.0000 0.0000 0.5000
4 Au 0.0000 0.5000 0.5000
5 Au 0.5000 0.0000 0.5000

Properties
calculated density: 7.9 g cm⁻³
energy: -17.88 eV for the cell shown



Entry 4:
KCaSb2Au: optimized geometry, PBE.

a b c (Å): 5.7187 5.7187 6.2397
angles (deg): 90.00 90.00 90.00
Atoms (fractional coordinates):
1 K 0.0000 0.0000 0.0000
2 Ca 0.0000 0.0000 0.5000
3 Sb 0.0000 0.5000 0.5000
4 Sb 0.5000 0.0000 0.5000
5 Au 0.5000 0.5000 0.0000

Properties
formation energy without anion corrections: 0.471 eV per atom
calculated density: 4.2 g cm⁻³



Entry 5:
KCaSi2Au5: optimized geometry, PBE.

a b c (Å): 4.7525 4.7525 9.9281
angles (deg): 90.00 90.00 90.00
Atoms (fractional coordinates):
1 K 0.0000 0.0000 0.0000
2 Ca 0.0000 0.0000 0.5000
3 Si 0.5000 0.5000 0.2446
4 Si 0.5000 0.5000 0.7554
5 Au 0.0000 0.5000 0.3044
6 Au 0.0000 0.5000 0.6956
7 Au 0.5000 0.0000 0.3044
8 Au 0.5000 0.0000 0.6956
9 Au 0.5000 0.5000 0.0000

Properties
formation energy without anion corrections: -0.355 eV per atom
calculated density: 8.3 g cm⁻³



Entry 6:
KCaSi2Au: optimized geometry, PBE.

a b c (Å): 5.4099 5.4099 5.9667
angles (deg): 90.00 90.00 90.00
Atoms (fractional coordinates):
1 K 0.0000 0.0000 0.0000
2 Ca 0.0000 0.0000 0.5000
3 Si 0.0000 0.5000 0.5000
4 Si 0.5000 0.0000 0.5000
5 Au 0.5000 0.5000 0.0000

Properties
formation energy without anion corrections: 1.118 eV per atom
calculated density: 3.2 g cm⁻³



Entry 7:
K2CaSn3Au4: optimized geometry, PBE.

a b c (Å): 4.9611 4.9611 11.2112
angles (deg): 90.00 90.00 90.00
Atoms (fractional coordinates):
1 K 0.0000 0.5000 0.2320
2 K 0.5000 0.0000 0.7680
3 Ca 0.0000 0.0000 0.5000
4 Sn 0.0000 0.5000 0.8828
5 Sn 0.5000 0.0000 0.1172
6 Sn 0.5000 0.5000 0.5000
7 Au 0.0000 0.0000 0.0000
8 Au 0.0000 0.5000 0.6387
9 Au 0.5000 0.0000 0.3613
10 Au 0.5000 0.5000 0.0000

Properties
calculated density: 7.6 g cm⁻³
energy: -33.30 eV for the cell shown



Entry 8:
KCa2WAu: optimized geometry, PBE.

a b c (Å): 5.8003 5.8003 5.1235
angles (deg): 90.00 90.00 90.00
Atoms (fractional coordinates):
1 K 0.0000 0.0000 0.0000
2 Ca 0.0000 0.5000 0.5000
3 Ca 0.5000 0.0000 0.5000
4 W 0.5000 0.5000 0.0000
5 Au 0.5000 0.5000 0.5000

Properties
calculated density: 4.8 g cm⁻³
energy: -17.95 eV for the cell shown



Entry 9:
Ca2LaAu: optimized geometry, PBE.

a b c (Å): 4.6591 4.6591 11.2734
angles (deg): 90.00 90.00 90.00
Atoms (fractional coordinates):
1 Ca 0.0000 0.5000 0.2500
2 Ca 0.0000 0.5000 0.7500
3 Ca 0.5000 0.0000 0.2500
4 Ca 0.5000 0.0000 0.7500
5 La 0.0000 0.0000 0.0000
6 La 0.5000 0.5000 0.5000
7 Au 0.0000 0.0000 0.5000
8 Au 0.5000 0.5000 0.0000

Properties
calculated density: 5.6 g cm⁻³
energy: -25.78 eV for the cell shown



Entry 10:
Ca3La2Au2: optimized geometry, PBE.

a b c (Å): 13.2063 3.9111 9.7588
angles (deg): 90.00 117.16 90.00
Atoms (fractional coordinates):
1 Ca 0.0000 0.0000 0.0000
2 Ca 0.1161 0.0000 0.4371
3 Ca 0.3839 0.5000 0.5629
4 Ca 0.5000 0.5000 0.0000
5 Ca 0.6161 0.5000 0.4371
6 Ca 0.8839 0.0000 0.5629
7 La 0.1738 0.5000 0.8263
8 La 0.3262 0.0000 0.1737
9 La 0.6738 0.0000 0.8263
10 La 0.8262 0.5000 0.1737
11 Au 0.1709 0.5000 0.2361
12 Au 0.3291 0.0000 0.7639
13 Au 0.6709 0.0000 0.2361
14 Au 0.8291 0.5000 0.7639

Properties
calculated density: 5.9 g cm⁻³
energy: -51.53 eV for the cell shown



Entry 11:
Ca2LaAu2: optimized geometry, PBE.

a b c (Å): 8.7390 8.7390 3.4325
angles (deg): 90.00 90.00 90.00
Atoms (fractional coordinates):
1 Ca 0.1308 0.3692 0.0000
2 Ca 0.3692 0.8692 0.0000
3 Ca 0.6308 0.1308 0.0000
4 Ca 0.8692 0.6308 0.0000
5 La 0.0000 0.0000 0.0000
6 La 0.5000 0.5000 0.0000
7 Au 0.1675 0.6675 0.5000
8 Au 0.3325 0.1675 0.5000
9 Au 0.6675 0.8325 0.5000
10 Au 0.8325 0.3325 0.5000

Properties
calculated density: 7.8 g cm⁻³
energy: -35.99 eV for the cell shown



Entry 12:
Ca2LaAu: optimized geometry, PBE.

a b c (Å): 4.6924 4.6924 5.5214
angles (deg): 90.00 90.00 90.00
Atoms (fractional coordinates):
1 Ca 0.0000 0.5000 0.0000
2 Ca 0.5000 0.0000 0.0000
3 La 0.0000 0.0000 0.5000
4 Au 0.5000 0.5000 0.5000

Properties
calculated density: 5.7 g cm⁻³
energy: -13.16 eV for the cell shown



Entry 13:
Ca2LaAu: optimized geometry, PBE.

a b c (Å): 4.1630 4.3142 15.6119
angles (deg): 90.00 90.00 90.00
Atoms (fractional coordinates):
1 Ca 0.0000 0.0000 0.0000
2 Ca 0.0000 0.5000 0.5000
3 Ca 0.5000 0.0000 0.3516
4 Ca 0.5000 0.5000 0.8516
5 La 0.0000 0.0000 0.7055
6 La 0.0000 0.5000 0.2055
7 Au 0.5000 0.0000 0.1452
8 Au 0.5000 0.5000 0.6452

Properties
calculated density: 4.9 g cm⁻³
energy: -27.31 eV for the cell shown



Entry 14:
CaLa3Au: optimized geometry, PBE.

a b c (Å): 5.9297 5.9297 5.9297
angles (deg): 90.00 90.00 90.00
Atoms (fractional coordinates):
1 Ca 0.0000 0.0000 0.0000
2 La 0.0000 0.5000 0.5000
3 La 0.5000 0.0000 0.5000
4 La 0.5000 0.5000 0.0000
5 Au 0.5000 0.5000 0.5000

Properties
calculated density: 5.2 g cm⁻³
energy: -20.53 eV for the cell shown



Entry 15:
CaLa2Au9: optimized geometry, PBE.

a b c (Å): 9.9142 9.9142 9.9142
angles (deg): 33.57 33.57 33.57
Atoms (fractional coordinates):
1 Ca 0.0000 0.0000 0.0000
2 La 0.1414 0.1414 0.1414
3 La 0.8586 0.8586 0.8586
4 Au 0.0812 0.5856 0.5856
5 Au 0.3330 0.3330 0.3330
6 Au 0.4144 0.4144 0.9188
7 Au 0.4144 0.9188 0.4144
8 Au 0.5000 0.5000 0.5000
9 Au 0.5856 0.0812 0.5856
10 Au 0.5856 0.5856 0.0812
11 Au 0.6670 0.6670 0.6670
12 Au 0.9188 0.4144 0.4144

Properties
calculated density: 13.1 g cm⁻³
energy: -47.60 eV for the cell shown



Entry 16:
Ca2LaAu2: optimized geometry, PBE.

a b c (Å): 8.0179 8.0179 4.4144
angles (deg): 90.00 90.00 90.00
Atoms (fractional coordinates):
1 Ca 0.1608 0.3392 0.0000
2 Ca 0.3392 0.8392 0.0000
3 Ca 0.6608 0.1608 0.0000
4 Ca 0.8392 0.6608 0.0000
5 La 0.0000 0.0000 0.5000
6 La 0.5000 0.5000 0.5000
7 Au 0.1334 0.6334 0.5000
8 Au 0.3666 0.1334 0.5000
9 Au 0.6334 0.8666 0.5000
10 Au 0.8666 0.3666 0.5000

Properties
calculated density: 7.2 g cm⁻³
energy: -37.55 eV for the cell shown



Entry 17:
Ca2LaAu: optimized geometry, PBE.

a b c (Å): 9.4453 9.4453 6.3138
angles (deg): 90.00 90.00 90.00
Atoms (fractional coordinates):
1 Ca 0.1649 0.2500 0.1250
2 Ca 0.2500 0.6649 0.3750
3 Ca 0.2500 0.8351 0.8750
4 Ca 0.3351 0.2500 0.6250
5 Ca 0.6649 0.7500 0.6250
6 Ca 0.7500 0.1649 0.8750
7 Ca 0.7500 0.3351 0.3750
8 Ca 0.8351 0.7500 0.1250
9 La 0.0000 0.0000 0.5000
10 La 0.0000 0.5000 0.7500
11 La 0.5000 0.0000 0.2500
12 La 0.5000 0.5000 0.0000
13 Au 0.0000 0.0000 0.0000
14 Au 0.0000 0.5000 0.2500
15 Au 0.5000 0.0000 0.7500
16 Au 0.5000 0.5000 0.5000

Properties
calculated density: 4.9 g cm⁻³
energy: -52.34 eV for the cell shown



Entry 18:
Ca2LaAu: optimized geometry, PBE.

a b c (Å): 3.8967 3.8967 31.2735
angles (deg): 90.00 90.00 120.00
Atoms (fractional coordinates):
1 Ca 0.0000 0.0000 0.0000
2 Ca 0.0000 0.0000 0.2077
3 Ca 0.3333 0.6667 0.6667
4 Ca 0.3333 0.6667 0.8743
5 Ca 0.6667 0.3333 0.3333
6 Ca 0.6667 0.3333 0.5410
7 La 0.0000 0.0000 0.4376
8 La 0.3333 0.6667 0.1043
9 La 0.6667 0.3333 0.7710
10 Au 0.0000 0.0000 0.6037
11 Au 0.3333 0.6667 0.2704
12 Au 0.6667 0.3333 0.9370

Properties
calculated density: 5.0 g cm⁻³
energy: -40.22 eV for the cell shown



Entry 19:
Ca2LaAu: optimized geometry, PBE.

a b c (Å): 7.6560 10.5383 6.6030
angles (deg): 90.00 90.00 90.00
Atoms (fractional coordinates):
1 Ca 0.1785 0.0625 0.1656
2 Ca 0.1785 0.4375 0.1656
3 Ca 0.3215 0.5625 0.6656
4 Ca 0.3215 0.9375 0.6656
5 Ca 0.6785 0.0625 0.3344
6 Ca 0.6785 0.4375 0.3344
7 Ca 0.8215 0.5625 0.8344
8 Ca 0.8215 0.9375 0.8344
9 La 0.0329 0.2500 0.6368
10 La 0.4671 0.7500 0.1368
11 La 0.5329 0.2500 0.8632
12 La 0.9671 0.7500 0.3632
13 Au 0.1138 0.7500 0.9323
14 Au 0.3862 0.2500 0.4323
15 Au 0.6138 0.7500 0.5677
16 Au 0.8862 0.2500 0.0677

Properties
calculated density: 5.2 g cm⁻³
energy: -55.49 eV for the cell shown



Entry 20:
Ca2LaAu2: optimized geometry, PBE.

a b c (Å): 5.2313 5.1186 11.0766
angles (deg): 90.00 90.08 90.00
Atoms (fractional coordinates):
1 Ca 0.2490 0.2500 0.3305
2 Ca 0.2498 0.2500 0.0047
3 Ca 0.7502 0.7500 0.9953
4 Ca 0.7510 0.7500 0.6695
5 La 0.2514 0.2500 0.6643
6 La 0.7486 0.7500 0.3357
7 Au 0.2490 0.7500 0.4907
8 Au 0.2505 0.7500 0.8369
9 Au 0.7495 0.2500 0.1631
10 Au 0.7510 0.2500 0.5093

Properties
calculated density: 6.9 g cm⁻³
energy: -37.41 eV for the cell shown



Entry 21:
Ca2LaAu4: optimized geometry, PBE.

a b c (Å): 5.1555 5.1555 14.1526
angles (deg): 90.00 90.00 90.00
Atoms (fractional coordinates):
1 Ca 0.0000 0.0000 0.2343
2 Ca 0.0000 0.0000 0.7657
3 Ca 0.5000 0.5000 0.2657
4 Ca 0.5000 0.5000 0.7343
5 La 0.0000 0.0000 0.5000
6 La 0.5000 0.5000 0.0000
7 Au 0.0000 0.5000 0.1262
8 Au 0.0000 0.5000 0.3738
9 Au 0.0000 0.5000 0.6262
10 Au 0.0000 0.5000 0.8738
11 Au 0.5000 0.0000 0.1262
12 Au 0.5000 0.0000 0.3738
13 Au 0.5000 0.0000 0.6262
14 Au 0.5000 0.0000 0.8738

Properties
calculated density: 8.9 g cm⁻³
energy: -53.20 eV for the cell shown



Entry 22:
CaLaAu4: optimized geometry, PBE.

a b c (Å): 5.7609 5.7609 5.7609
angles (deg): 60.00 60.00 60.00
Atoms (fractional coordinates):
1 Ca 0.0000 0.0000 0.0000
2 La 0.7500 0.7500 0.7500
3 Au 0.3743 0.3743 0.3743
4 Au 0.3743 0.3743 0.8772
5 Au 0.3743 0.8772 0.3743
6 Au 0.8772 0.3743 0.3743

Properties
calculated density: 11.9 g cm⁻³
energy: -23.58 eV for the cell shown



Entry 23:
CaLa3Au: optimized geometry, PBE.

a b c (Å): 5.7426 5.7426 5.7426
angles (deg): 90.00 90.00 90.00
Atoms (fractional coordinates):
1 Ca 0.0000 0.0000 0.0000
2 La 0.0000 0.0000 0.5000
3 La 0.0000 0.5000 0.0000
4 La 0.5000 0.0000 0.0000
5 Au 0.5000 0.5000 0.5000

Properties
calculated density: 5.7 g cm⁻³
energy: -16.05 eV for the cell shown



Entry 24:
CaLaAu10: optimized geometry, PBE.

a b c (Å): 4.7407 5.5942 9.7027
angles (deg): 90.00 90.00 90.00
Atoms (fractional coordinates):
1 Ca 0.0000 0.0000 0.0000
2 La 0.0000 0.5000 0.5000
3 Au 0.0000 0.0000 0.3308
4 Au 0.0000 0.0000 0.6692
5 Au 0.0000 0.5000 0.1628
6 Au 0.0000 0.5000 0.8372
7 Au 0.5000 0.0000 0.5000
8 Au 0.5000 0.2516 0.2519
9 Au 0.5000 0.2516 0.7481
10 Au 0.5000 0.5000 0.0000
11 Au 0.5000 0.7484 0.2519
12 Au 0.5000 0.7484 0.7481

Properties
calculated density: 13.9 g cm⁻³
energy: -44.82 eV for the cell shown



Entry 25:
CaLa5Au6: optimized geometry, PBE.

a b c (Å): 9.2265 9.2265 5.3413
angles (deg): 106.76 106.76 47.85
Atoms (fractional coordinates):
1 Ca 0.0000 0.0000 0.0000
2 La 0.1609 0.1609 0.6611
3 La 0.3313 0.3313 0.3322
4 La 0.5000 0.5000 0.0000
5 La 0.6687 0.6687 0.6678
6 La 0.8391 0.8391 0.3389
7 Au 0.0856 0.5792 0.8332
8 Au 0.2582 0.7418 0.5000
9 Au 0.4208 0.9144 0.1668
10 Au 0.5792 0.0856 0.8332
11 Au 0.7418 0.2582 0.5000
12 Au 0.9144 0.4208 0.1668

Properties
calculated density: 9.9 g cm⁻³
energy: -55.81 eV for the cell shown